Material: La2MgZr
Method: DFT, GGA-PBE
State: relaxed

Lattice parameters (Å, degrees): 3.4684 3.4684 9.7267 90.00 90.00 90.00
Fractional coordinates of all 4 atoms:
La: 0.0000 0.0000 0.0000
La: 0.5000 0.5000 0.2979
Mg: 0.0000 0.0000 0.5530
Zr: 0.5000 0.5000 0.7569

* raw total energy: -4.927 eV per atom
* V: 117.0 Å³/f.u.
* N(E_F): 4.32 states/eV per cell
* total magnetization: 0.0 μB/cell
* ΔE_f: 0.29 eV/f.u.
* symmetry: P4mm

Material: HfGa2AgCl
Method: DFT, GGA-PBE
State: relaxed

Lattice parameters (Å, degrees): 4.9578 4.9578 4.6844 90.00 90.00 90.00
Fractional coordinates of all 5 atoms:
Hf: 0.0000 0.0000 0.0000
Ga: 0.0000 0.5000 0.5000
Ga: 0.5000 0.0000 0.5000
Ag: 0.5000 0.5000 0.0000
Cl: 0.5000 0.5000 0.5000

* raw total energy: -3.452 eV per atom
* V: 115.1 Å³/f.u.
* N(E_F): 3.45 states/eV per cell
* formation energy without anion corrections: 0.6890 eV/atom
* total magnetization: 0.0 μB/cell
* symmetry: P4/mmm

Material: Zr2ZnS
Method: DFT, GGA-PBE
State: relaxed

Lattice parameters (Å, degrees): 3.6167 3.6167 20.2497 90.00 90.00 120.00
Fractional coordinates of all 12 atoms:
Zr: 0.0000 0.0000 0.2406
Zr: 0.0000 0.0000 0.7594
Zr: 0.3333 0.6667 0.4261
Zr: 0.3333 0.6667 0.9073
Zr: 0.6667 0.3333 0.0927
Zr: 0.6667 0.3333 0.5739
Zn: 0.0000 0.0000 0.0000
Zn: 0.3333 0.6667 0.6667
Zn: 0.6667 0.3333 0.3333
S: 0.0000 0.0000 0.5000
S: 0.3333 0.6667 0.1667
S: 0.6667 0.3333 0.8333

* raw total energy: -6.446 eV per atom
* V: 76.5 Å³/f.u.
* N(E_F): 7.12 states/eV per cell
* formation energy without anion corrections: -0.8218 eV/atom
* total magnetization: 0.0 μB/cell
* symmetry: R-3m
* energy above the most stable polymorph in this dataset: 0 meV per atom

Material: LiAsCl2
Method: DFT, GGA-PBE
State: relaxed

Lattice parameters (Å, degrees): 3.4352 4.0412 6.6131 90.00 103.98 90.00
Fractional coordinates of all 4 atoms:
Li: 0.0000 0.0000 0.0000
As: 0.0000 0.0000 0.5000
Cl: 0.1420 0.5000 0.7674
Cl: 0.8580 0.5000 0.2326

* raw total energy: -3.101 eV per atom
* V: 89.1 Å³/f.u.
* N(E_F): 1.01 states/eV per cell
* formation energy without anion corrections: -0.5365 eV/atom
* total magnetization: 0.0 μB/cell
* symmetry: P2/m
* energy above the most stable polymorph in this dataset: 343 meV per atom

Material: Cr2CoNi
Method: DFT, GGA-PBE
State: relaxed

Lattice parameters (Å, degrees): 2.9759 3.8337 7.8499 90.00 90.00 90.00
Fractional coordinates of all 8 atoms:
Cr: 0.0000 0.0000 0.0000
Cr: 0.0000 0.5000 0.2568
Cr: 0.5000 0.0000 0.2568
Cr: 0.5000 0.5000 0.0000
Co: 0.0000 0.0000 0.5047
Co: 0.5000 0.5000 0.5047
Ni: 0.0000 0.5000 0.7537
Ni: 0.5000 0.0000 0.7537

* raw total energy: -7.945 eV per atom
* V: 44.8 Å³/f.u.
* N(E_F): 10.55 states/eV per cell
* total magnetization: 2.9 μB/cell
* ΔE_f: 0.35 eV/f.u.
* symmetry: Cmm2
* energy above the most stable polymorph in this dataset: 60 meV per atom

Material: YAgTe2
Method: DFT, GGA-PBE
State: relaxed

Lattice parameters (Å, degrees): 3.9567 3.9567 28.3731 90.00 90.00 120.00
Fractional coordinates of all 12 atoms:
Y: 0.0000 0.0000 0.0000
Y: 0.3333 0.6667 0.6667
Y: 0.6667 0.3333 0.3333
Ag: 0.0000 0.0000 0.5000
Ag: 0.3333 0.6667 0.1667
Ag: 0.6667 0.3333 0.8333
Te: 0.0000 0.0000 0.1046
Te: 0.0000 0.0000 0.8954
Te: 0.3333 0.6667 0.5621
Te: 0.3333 0.6667 0.7713
Te: 0.6667 0.3333 0.2287
Te: 0.6667 0.3333 0.4379

* raw total energy: -3.936 eV per atom
* V: 128.2 Å³/f.u.
* N(E_F): 11.07 states/eV per cell
* formation energy without anion corrections: -0.0361 eV/atom
* total magnetization: 0.0 μB/cell
* symmetry: R-3m